Record 1
# RbTlSnO4 (GGA-PBE, relaxed)
data_RbTlSnO4
_chemical_formula_sum 'Rb2 Tl2 Sn2 O8'
_space_group_name_H-M_alt 'P 1 21/m 1'
_space_group_IT_number 11
_cell_length_a 6.017
_cell_length_b 6.079
_cell_length_c 8.318
_cell_angle_alpha 90.00
_cell_angle_beta 109.20
_cell_angle_gamma 90.00
loop_
_space_group_symop_operation_xyz
'x,y,z'
'-x,-y,-z'
'-x,y+1/2,-z'
'x,-y+1/2,z'
loop_
_atom_site_label
_atom_site_type_symbol
_atom_site_fract_x
_atom_site_fract_y
_atom_site_fract_z
Rb1 Rb 0.062 0.250 0.142
Tl1 Tl 0.154 0.750 0.460
Sn1 Sn 0.411 0.250 0.665
O1 O 0.172 0.018 0.668
O2 O 0.254 0.750 0.199
O3 O 0.454 0.250 0.437
# Energy relative to the elements, uncorrected in meV per atom: -1159
# M_tot in μB/f.u.: 0.0
# VASP energy in eV per atom: -5.041



Record 2
# Rb3Tm2SnO6 (GGA-PBE, relaxed)
data_Rb3Tm2SnO6
_chemical_formula_sum 'Rb6 Tm4 Sn2 O12'
_space_group_name_H-M_alt 'C 1 2/m 1'
_space_group_IT_number 12
_cell_length_a 6.018
_cell_length_b 10.426
_cell_length_c 6.841
_cell_angle_alpha 90.00
_cell_angle_beta 107.01
_cell_angle_gamma 90.00
loop_
_space_group_symop_operation_xyz
'x,y,z'
'-x,-y,-z'
'-x,y,-z'
'x,-y,z'
'x+1/2,y+1/2,z'
'-x+1/2,-y+1/2,-z'
'-x+1/2,y+1/2,-z'
'x+1/2,-y+1/2,z'
loop_
_atom_site_label
_atom_site_type_symbol
_atom_site_fract_x
_atom_site_fract_y
_atom_site_fract_z
Rb1 Rb 0.000 0.000 0.000
Rb2 Rb 0.000 0.336 0.000
Tm1 Tm 0.000 0.167 0.500
Sn1 Sn 0.000 0.500 0.500
O1 O 0.217 0.000 0.675
O2 O 0.229 0.329 0.676
# Energy relative to the elements, uncorrected in meV per atom: -2229
# M_tot in μB/f.u.: 0.5
# VASP energy in eV per atom: -6.029



Record 3
# Rb2Tm2SnO6 (GGA-PBE, relaxed)
data_Rb2Tm2SnO6
_chemical_formula_sum 'Rb4 Tm4 Sn2 O12'
_space_group_name_H-M_alt 'C 1 2/m 1'
_space_group_IT_number 12
_cell_length_a 5.827
_cell_length_b 10.047
_cell_length_c 6.944
_cell_angle_alpha 90.00
_cell_angle_beta 105.87
_cell_angle_gamma 90.00
loop_
_space_group_symop_operation_xyz
'x,y,z'
'-x,-y,-z'
'-x,y,-z'
'x,-y,z'
'x+1/2,y+1/2,z'
'-x+1/2,-y+1/2,-z'
'-x+1/2,y+1/2,-z'
'x+1/2,-y+1/2,z'
loop_
_atom_site_label
_atom_site_type_symbol
_atom_site_fract_x
_atom_site_fract_y
_atom_site_fract_z
Rb1 Rb 0.000 0.167 0.000
Tm1 Tm 0.000 0.334 0.500
Sn1 Sn 0.000 0.000 0.500
O1 O 0.211 0.161 0.664
O2 O 0.241 0.500 0.664
# Energy relative to the elements, uncorrected in meV per atom: -2484
# M_tot in μB/f.u.: 0.0
# VASP energy in eV per atom: -6.541



Record 4
# RbTmSnO3 (GGA-PBE, relaxed)
data_RbTmSnO3
_chemical_formula_sum 'Rb2 Tm2 Sn2 O6'
_space_group_name_H-M_alt 'P 1 21/m 1'
_space_group_IT_number 11
_cell_length_a 7.374
_cell_length_b 3.426
_cell_length_c 9.990
_cell_angle_alpha 90.00
_cell_angle_beta 93.78
_cell_angle_gamma 90.00
loop_
_space_group_symop_operation_xyz
'x,y,z'
'-x,-y,-z'
'-x,y+1/2,-z'
'x,-y+1/2,z'
loop_
_atom_site_label
_atom_site_type_symbol
_atom_site_fract_x
_atom_site_fract_y
_atom_site_fract_z
Rb1 Rb 0.156 0.250 0.208
Tm1 Tm 0.395 0.250 0.875
Sn1 Sn 0.255 0.750 0.598
O1 O 0.153 0.250 0.711
O2 O 0.335 0.750 0.010
O3 O 0.470 0.750 0.740
# Energy relative to the elements, uncorrected in meV per atom: -2290
# M_tot in μB/f.u.: 0.0
# VASP energy in eV per atom: -6.343



Record 5
# RbUSnO6 (GGA-PBE, relaxed)
data_RbUSnO6
_chemical_formula_sum 'Rb2 U2 Sn2 O12'
_space_group_name_H-M_alt 'P -3 1 c'
_space_group_IT_number 163
_space_group_name_Hall '-P 3 2c'
_cell_length_a 5.6233
_cell_length_b 5.6233
_cell_length_c 12.6601
_cell_angle_alpha 90.00
_cell_angle_beta 90.00
_cell_angle_gamma 120.00
loop_
_atom_site_label
_atom_site_type_symbol
_atom_site_fract_x
_atom_site_fract_y
_atom_site_fract_z
Rb1 Rb 0.0000 0.0000 0.0000
U1 U 0.3333 0.6667 0.2500
Sn1 Sn 0.3333 0.6667 0.7500
O1 O 0.0026 0.3808 0.1604
# Energy relative to the elements, uncorrected in meV per atom: -2048
# M_tot in μB/f.u.: 1.1
# VASP energy in eV per atom: -7.159



Record 6
# Rb2USnO6 (GGA-PBE, relaxed)
data_Rb2USnO6
_chemical_formula_sum 'Rb8 U4 Sn4 O24'
_space_group_name_H-M_alt 'F m -3 m'
_space_group_IT_number 225
_space_group_name_Hall '-F 4 2 3'
_cell_length_a 8.477
_cell_length_b 8.477
_cell_length_c 8.477
_cell_angle_alpha 90.00
_cell_angle_beta 90.00
_cell_angle_gamma 90.00
loop_
_atom_site_label
_atom_site_type_symbol
_atom_site_fract_x
_atom_site_fract_y
_atom_site_fract_z
Rb1 Rb 0.250 0.250 0.250
U1 U 0.000 0.000 0.000
Sn1 Sn 0.000 0.000 0.500
O1 O 0.000 0.000 0.248
# Energy relative to the elements, uncorrected in meV per atom: -2295
# M_tot in μB/f.u.: 0.0
# VASP energy in eV per atom: -6.993



Q: What is the M_tot in the third record?
A: 0.0 μB/f.u.



Please write out number 1 again, unchanged.
# RbTlSnO4 (GGA-PBE, relaxed)
data_RbTlSnO4
_chemical_formula_sum 'Rb2 Tl2 Sn2 O8'
_space_group_name_H-M_alt 'P 1 21/m 1'
_space_group_IT_number 11
_cell_length_a 6.017
_cell_length_b 6.079
_cell_length_c 8.318
_cell_angle_alpha 90.00
_cell_angle_beta 109.20
_cell_angle_gamma 90.00
loop_
_space_group_symop_operation_xyz
'x,y,z'
'-x,-y,-z'
'-x,y+1/2,-z'
'x,-y+1/2,z'
loop_
_atom_site_label
_atom_site_type_symbol
_atom_site_fract_x
_atom_site_fract_y
_atom_site_fract_z
Rb1 Rb 0.062 0.250 0.142
Tl1 Tl 0.154 0.750 0.460
Sn1 Sn 0.411 0.250 0.665
O1 O 0.172 0.018 0.668
O2 O 0.254 0.750 0.199
O3 O 0.454 0.250 0.437
# Energy relative to the elements, uncorrected in meV per atom: -1159
# M_tot in μB/f.u.: 0.0
# VASP energy in eV per atom: -5.041